# 1
# PBEsol LiSi2Ru, relaxed
# V: 14.2 Å³ per atom
# energy: -6.16 eV/atom
# energy above the lowest structure with this stoichiometry: 86 meV per atom
data_LiSi2Ru
_chemical_formula_sum 'Li3 Si6 Ru3'
_cell_length_a 2.8440
_cell_length_b 2.8440
_cell_length_c 24.2924
_cell_angle_alpha 90.00
_cell_angle_beta 90.00
_cell_angle_gamma 120.00
_symmetry_space_group_name_H-M 'R -3 m'
_symmetry_Int_Tables_number 166
_symmetry_space_group_name_Hall '-R 3 2"'
loop_
_atom_site_label
_atom_site_type_symbol
_atom_site_fract_x
_atom_site_fract_y
_atom_site_fract_z
Li1 Li 0.0000 0.0000 0.0000
Si1 Si 0.0000 0.0000 0.2425
Ru1 Ru 0.0000 0.0000 0.5000

---

# 2
# PBEsol Nd4PdO7, relaxed
# V: 14.5 Å³ per atom
# energy: -8.20 eV/atom
data_Nd4PdO7
_chemical_formula_sum 'Nd8 Pd2 O14'
_cell_length_a 6.8538
_cell_length_b 7.1153
_cell_length_c 7.8790
_cell_angle_alpha 71.69
_cell_angle_beta 72.56
_cell_angle_gamma 83.65
_symmetry_space_group_name_H-M 'P -1'
_symmetry_Int_Tables_number 2
loop_
_symmetry_equiv_pos_as_xyz
'x,y,z'
'-x,-y,-z'
loop_
_atom_site_label
_atom_site_type_symbol
_atom_site_fract_x
_atom_site_fract_y
_atom_site_fract_z
Nd1 Nd 0.1556 0.3525 0.3633
Nd2 Nd 0.1671 0.3398 0.8759
Nd3 Nd 0.2685 0.9009 0.7089
Nd4 Nd 0.2889 0.8975 0.2191
Pd1 Pd 0.5000 0.5000 0.0000
Pd2 Pd 0.5000 0.5000 0.5000
O1 O 0.0548 0.2145 0.6814
O2 O 0.0756 0.1836 0.1917
O3 O 0.2071 0.5973 0.0158
O4 O 0.2208 0.6274 0.5723
O5 O 0.3469 0.0476 0.9016
O6 O 0.3603 0.0780 0.3937
O7 O 0.4554 0.5627 0.2437

---

# 3
# PBEsol SrSbPb2, relaxed
# V: 29.3 Å³ per atom
# energy: -4.04 eV/atom
data_SrSbPb2
_chemical_formula_sum 'Sr1 Sb1 Pb2'
_cell_length_a 4.8082
_cell_length_b 4.8082
_cell_length_c 5.0718
_cell_angle_alpha 90.00
_cell_angle_beta 90.00
_cell_angle_gamma 90.00
_symmetry_space_group_name_H-M 'P 4/m m m'
_symmetry_Int_Tables_number 123
_symmetry_space_group_name_Hall '-P 4 2'
loop_
_atom_site_label
_atom_site_type_symbol
_atom_site_fract_x
_atom_site_fract_y
_atom_site_fract_z
Sr1 Sr 0.0000 0.0000 0.0000
Sb1 Sb 0.5000 0.5000 0.0000
Pb1 Pb 0.0000 0.5000 0.5000

---

# 4
# PBEsol Na2CrFeAu, relaxed
# V: 23.3 Å³ per atom
# ΔE_f: 1236 meV per atom
# energy: -3.95 eV/atom
data_Na2CrFeAu
_chemical_formula_sum 'Na2 Cr1 Fe1 Au1'
_cell_length_a 5.3244
_cell_length_b 5.3244
_cell_length_c 4.1052
_cell_angle_alpha 90.00
_cell_angle_beta 90.00
_cell_angle_gamma 90.00
_symmetry_space_group_name_H-M 'P 4/m m m'
_symmetry_Int_Tables_number 123
_symmetry_space_group_name_Hall '-P 4 2'
loop_
_atom_site_label
_atom_site_type_symbol
_atom_site_fract_x
_atom_site_fract_y
_atom_site_fract_z
Na1 Na 0.0000 0.5000 0.0000
Cr1 Cr 0.0000 0.0000 0.0000
Fe1 Fe 0.0000 0.0000 0.5000
Au1 Au 0.5000 0.5000 0.5000

---

# 5
# PBEsol Pt2W, relaxed
# V: 14.9 Å³ per atom
# ΔE_f: -371 meV per atom
# energy: -9.62 eV/atom
# energy above the lowest structure with this stoichiometry: 0 meV per atom
data_Pt2W
_chemical_formula_sum 'Pt4 W2'
_cell_length_a 2.7532
_cell_length_b 3.9449
_cell_length_c 8.2516
_cell_angle_alpha 90.00
_cell_angle_beta 90.00
_cell_angle_gamma 90.00
_symmetry_space_group_name_H-M 'I m m m'
_symmetry_Int_Tables_number 71
_symmetry_space_group_name_Hall '-I 2 2'
loop_
_atom_site_label
_atom_site_type_symbol
_atom_site_fract_x
_atom_site_fract_y
_atom_site_fract_z
Pt1 Pt 0.0000 0.0000 0.1634
W1 W 0.0000 0.0000 0.5000

---

# 6
# PBEsol NbZnSb2Rh, relaxed
# V: 21.5 Å³ per atom
# energy: -4.99 eV/atom
data_NbZnSb2Rh
_chemical_formula_sum 'Nb1 Zn1 Sb2 Rh1'
_cell_length_a 4.9504
_cell_length_b 4.9504
_cell_length_c 4.3784
_cell_angle_alpha 90.00
_cell_angle_beta 90.00
_cell_angle_gamma 90.00
_symmetry_space_group_name_H-M 'P 4/m m m'
_symmetry_Int_Tables_number 123
_symmetry_space_group_name_Hall '-P 4 2'
loop_
_atom_site_label
_atom_site_type_symbol
_atom_site_fract_x
_atom_site_fract_y
_atom_site_fract_z
Nb1 Nb 0.0000 0.0000 0.0000
Zn1 Zn 0.5000 0.5000 0.5000
Sb1 Sb 0.0000 0.5000 0.5000
Rh1 Rh 0.5000 0.5000 0.0000

---

# 7
# PBEsol Sr2AlPb, relaxed
# V: 31.8 Å³ per atom
# ΔE_f: -17 meV per atom
# energy: -2.96 eV/atom
data_Sr2AlPb
_chemical_formula_sum 'Sr8 Al4 Pb4'
_cell_length_a 7.9860
_cell_length_b 7.9860
_cell_length_c 7.9860
_cell_angle_alpha 90.00
_cell_angle_beta 90.00
_cell_angle_gamma 90.00
_symmetry_space_group_name_H-M 'F -4 3 m'
_symmetry_Int_Tables_number 216
_symmetry_space_group_name_Hall 'F -4 2 3'
loop_
_atom_site_label
_atom_site_type_symbol
_atom_site_fract_x
_atom_site_fract_y
_atom_site_fract_z
Sr1 Sr 0.0000 0.0000 0.0000
Sr2 Sr 0.2500 0.2500 0.2500
Al1 Al 0.2500 0.2500 0.7500
Pb1 Pb 0.0000 0.0000 0.5000

---

# 8
# PBEsol YTl2Ru, relaxed
# V: 21.7 Å³ per atom
# ΔE_f: 90 meV per atom
# energy: -5.47 eV/atom
# energy above the lowest structure with this stoichiometry: 102 meV per atom
data_YTl2Ru
_chemical_formula_sum 'Y1 Tl2 Ru1'
_cell_length_a 3.3418
_cell_length_b 4.7388
_cell_length_c 5.6330
_cell_angle_alpha 90.00
_cell_angle_beta 103.46
_cell_angle_gamma 90.00
_symmetry_space_group_name_H-M 'P 1 2/m 1'
_symmetry_Int_Tables_number 10
loop_
_symmetry_equiv_pos_as_xyz
'x,y,z'
'-x,-y,-z'
'-x,y,-z'
'x,-y,z'
loop_
_atom_site_label
_atom_site_type_symbol
_atom_site_fract_x
_atom_site_fract_y
_atom_site_fract_z
Y1 Y 0.0000 0.0000 0.0000
Tl1 Tl 0.3531 0.5000 0.7286
Ru1 Ru 0.5000 0.0000 0.5000

---

# 9
# PBEsol LaNi2As2, relaxed
# V: 16.7 Å³ per atom
# ΔE_f: -882 meV per atom
# energy: -6.46 eV/atom
data_LaNi2As2
_chemical_formula_sum 'La2 Ni4 As4'
_cell_length_a 4.0989
_cell_length_b 4.0989
_cell_length_c 9.9379
_cell_angle_alpha 90.00
_cell_angle_beta 90.00
_cell_angle_gamma 90.00
_symmetry_space_group_name_H-M 'I 4/m m m'
_symmetry_Int_Tables_number 139
_symmetry_space_group_name_Hall '-I 4 2'
loop_
_atom_site_label
_atom_site_type_symbol
_atom_site_fract_x
_atom_site_fract_y
_atom_site_fract_z
La1 La 0.0000 0.0000 0.0000
Ni1 Ni 0.0000 0.5000 0.2500
As1 As 0.0000 0.0000 0.3657

---

# 10
# PBEsol MnCd2Ag, relaxed
# V: 17.5 Å³ per atom
# ΔE_f: 212 meV per atom
# energy: -3.65 eV/atom
data_MnCd2Ag
_chemical_formula_sum 'Mn3 Cd6 Ag3'
_cell_length_a 2.9535
_cell_length_b 2.9535
_cell_length_c 27.8291
_cell_angle_alpha 90.00
_cell_angle_beta 90.00
_cell_angle_gamma 120.00
_symmetry_space_group_name_H-M 'R -3 m'
_symmetry_Int_Tables_number 166
_symmetry_space_group_name_Hall '-R 3 2"'
loop_
_atom_site_label
_atom_site_type_symbol
_atom_site_fract_x
_atom_site_fract_y
_atom_site_fract_z
Mn1 Mn 0.0000 0.0000 0.0000
Cd1 Cd 0.0000 0.0000 0.2520
Ag1 Ag 0.0000 0.0000 0.5000

---

# 11
# PBEsol Ba2TaMnO6, relaxed
# V: 13.3 Å³ per atom
# energy: -8.51 eV/atom
data_Ba2TaMnO6
_chemical_formula_sum 'Ba4 Ta2 Mn2 O12'
_cell_length_a 5.5592
_cell_length_b 5.5592
_cell_length_c 8.6247
_cell_angle_alpha 90.00
_cell_angle_beta 90.00
_cell_angle_gamma 90.00
_symmetry_space_group_name_H-M 'I 4/m m m'
_symmetry_Int_Tables_number 139
_symmetry_space_group_name_Hall '-I 4 2'
loop_
_atom_site_label
_atom_site_type_symbol
_atom_site_fract_x
_atom_site_fract_y
_atom_site_fract_z
Ba1 Ba 0.0000 0.5000 0.2500
Ta1 Ta 0.0000 0.0000 0.0000
Mn1 Mn 0.0000 0.0000 0.5000
O1 O 0.0000 0.0000 0.2288
O2 O 0.2446 0.2446 0.5000

---

# 12
# PBEsol BeMo2Br, relaxed
# V: 15.0 Å³ per atom
# energy: -6.33 eV/atom
# energy above the lowest structure with this stoichiometry: 724 meV per atom
data_BeMo2Br
_chemical_formula_sum 'Be1 Mo2 Br1'
_cell_length_a 3.7267
_cell_length_b 3.7267
_cell_length_c 4.3104
_cell_angle_alpha 90.00
_cell_angle_beta 90.00
_cell_angle_gamma 90.00
_symmetry_space_group_name_H-M 'P 4/m m m'
_symmetry_Int_Tables_number 123
_symmetry_space_group_name_Hall '-P 4 2'
loop_
_atom_site_label
_atom_site_type_symbol
_atom_site_fract_x
_atom_site_fract_y
_atom_site_fract_z
Be1 Be 0.0000 0.0000 0.0000
Mo1 Mo 0.0000 0.5000 0.5000
Br1 Br 0.5000 0.5000 0.0000

---

Repeat the twelfth record exactly.
# PBEsol BeMo2Br, relaxed
# V: 15.0 Å³ per atom
# energy: -6.33 eV/atom
# energy above the lowest structure with this stoichiometry: 724 meV per atom
data_BeMo2Br
_chemical_formula_sum 'Be1 Mo2 Br1'
_cell_length_a 3.7267
_cell_length_b 3.7267
_cell_length_c 4.3104
_cell_angle_alpha 90.00
_cell_angle_beta 90.00
_cell_angle_gamma 90.00
_symmetry_space_group_name_H-M 'P 4/m m m'
_symmetry_Int_Tables_number 123
_symmetry_space_group_name_Hall '-P 4 2'
loop_
_atom_site_label
_atom_site_type_symbol
_atom_site_fract_x
_atom_site_fract_y
_atom_site_fract_z
Be1 Be 0.0000 0.0000 0.0000
Mo1 Mo 0.0000 0.5000 0.5000
Br1 Br 0.5000 0.5000 0.0000

---

What did the twelfth record say?
# PBEsol BeMo2Br, relaxed
# V: 15.0 Å³ per atom
# energy: -6.33 eV/atom
# energy above the lowest structure with this stoichiometry: 724 meV per atom
data_BeMo2Br
_chemical_formula_sum 'Be1 Mo2 Br1'
_cell_length_a 3.7267
_cell_length_b 3.7267
_cell_length_c 4.3104
_cell_angle_alpha 90.00
_cell_angle_beta 90.00
_cell_angle_gamma 90.00
_symmetry_space_group_name_H-M 'P 4/m m m'
_symmetry_Int_Tables_number 123
_symmetry_space_group_name_Hall '-P 4 2'
loop_
_atom_site_label
_atom_site_type_symbol
_atom_site_fract_x
_atom_site_fract_y
_atom_site_fract_z
Be1 Be 0.0000 0.0000 0.0000
Mo1 Mo 0.0000 0.5000 0.5000
Br1 Br 0.5000 0.5000 0.0000

---

The lowest V belongs to which entry?
Ba2TaMnO6

---

The highest energy belongs to which entry?
Sr2AlPb